1.
VASP calculation (PBE-GGA) on an optimized crystal structure of Y2TaNi.

E above lowest polymorph   86 meV/atom
E_form   0.35 eV/f.u.
ρ   8.0 Mg/m³

The structure in POSCAR format:
```
Y2TaNi
1.0
3.284 0.000 0.000
0.000 3.284 0.000
0.000 0.000 7.994
Y Ta Ni
2 1 1
Cartesian
0.000 0.000 1.744 Y
0.000 0.000 6.251 Y
1.642 1.642 3.997 Ta
1.642 1.642 0.000 Ni
```

---

2.
VASP calculation (PBE-GGA) on an optimized crystal structure of YTaNi.

E above lowest polymorph   287 meV/atom
E_form   0.76 eV/f.u.
ρ   9.2 Mg/m³

The structure in POSCAR format:
```
YTaNi
1.0
3.244 0.000 0.000
-1.622 2.810 0.000
0.000 0.000 6.529
Y Ta Ni
1 1 1
Cartesian
0.000 0.000 0.000 Y
0.000 1.873 3.946 Ta
1.622 0.937 2.273 Ni
```

---

3.
VASP calculation (PBE-GGA) on an optimized crystal structure of YTaNi2.

E_form   -0.06 eV/f.u.
ρ   9.0 Mg/m³

The structure in POSCAR format:
```
YTaNi2
1.0
4.364 -1.614 0.000
4.364 1.614 0.000
-0.968 0.000 5.053
Y Ta Ni
1 1 2
Cartesian
0.000 0.000 0.000 Y
6.436 0.000 2.026 Ta
1.405 0.000 3.750 Ni
3.941 0.000 2.571 Ni
```

---

4.
VASP calculation (PBE-GGA) on an optimized crystal structure of YTa2Ni.

E above lowest polymorph   53 meV/atom
E_form   0.38 eV/f.u.
ρ   11.1 Mg/m³

The structure in POSCAR format:
```
YTa2Ni
1.0
-1.519 2.386 5.238
1.519 -2.386 5.238
1.519 2.386 -5.238
Y Ta Ni
1 2 1
Cartesian
0.000 0.000 0.000 Y
1.519 0.000 2.982 Ta
0.000 2.386 2.256 Ta
0.000 0.000 5.238 Ni
```